(1)
{
  "formula": "Sr2ScOsO8",
  "functional": "PBE",
  "state": "relaxed",
  "cell": [[5.016, 0.000, 0.000], [0.070, 5.427, 0.000], [0.108, 0.066, 6.591]],
  "species": ["Sr", "Sr", "Sc", "Os", "O", "O", "O", "O", "O", "O", "O", "O"],
  "fractional_positions": [[0.007, 0.001, 0.247], [0.993, 0.999, 0.753], [0.500, 0.500, 0.500], [0.500, 0.500, 0.000], [0.285, 0.382, 0.220], [0.286, 0.373, 0.792], [0.302, 0.828, 0.501], [0.303, 0.789, 0.995], [0.697, 0.211, 0.005], [0.698, 0.172, 0.499], [0.714, 0.627, 0.208], [0.715, 0.618, 0.780]],
  "crystal_system": "triclinic",
  "total_magnetization_mub_per_cell": 1.06,
  "e_tot_ev_per_atom": -6.940
}



(2)
{
  "formula": "Ca2YPb",
  "functional": "PBE",
  "state": "relaxed",
  "cell": [[-4.611, 4.611, 3.314], [4.611, -4.611, 3.314], [4.611, 4.611, -3.314]],
  "species": ["Ca", "Ca", "Ca", "Ca", "Y", "Y", "Pb", "Pb"],
  "fractional_positions": [[0.084, 0.625, 0.959], [0.375, 0.334, 0.459], [0.666, 0.125, 0.041], [0.875, 0.916, 0.541], [0.250, 0.750, 0.500], [0.500, 0.500, 0.000], [0.000, 0.000, 0.000], [0.750, 0.250, 0.500]],
  "crystal_system": "tetragonal",
  "formation_energy_ev_per_atom": 0.0161,
  "total_magnetization_mub_per_cell": 0.00,
  "e_tot_ev_per_atom": -3.528
}



(3)
{
  "formula": "MnTl5Te5",
  "functional": "PBE",
  "state": "relaxed",
  "cell": [[-2.805, 4.156, 7.894], [2.805, -4.156, 7.894], [2.805, 4.156, -7.894]],
  "species": ["Mn", "Tl", "Tl", "Tl", "Tl", "Tl", "Te", "Te", "Te", "Te", "Te"],
  "fractional_positions": [[0.000, 0.000, 0.000], [0.196, 0.696, 0.500], [0.326, 0.326, 0.000], [0.500, 0.000, 0.500], [0.674, 0.674, 0.000], [0.804, 0.304, 0.500], [0.000, 0.500, 0.500], [0.084, 0.868, 0.216], [0.348, 0.132, 0.216], [0.652, 0.868, 0.784], [0.916, 0.132, 0.784]],
  "crystal_system": "orthorhombic",
  "total_magnetization_mub_per_cell": 3.08,
  "e_tot_ev_per_atom": -3.482
}



(4)
{
  "formula": "LaPmDy2Y",
  "functional": "PBE",
  "state": "relaxed",
  "cell": [[4.220, -5.814, 0.000], [4.220, 5.814, 0.000], [0.000, 0.000, 7.247]],
  "species": ["La", "La", "Pm", "Pm", "Dy", "Dy", "Dy", "Dy", "Y", "Y"],
  "fractional_positions": [[0.228, 0.772, 0.750], [0.772, 0.228, 0.250], [0.490, 0.510, 0.750], [0.510, 0.490, 0.250], [0.188, 0.188, 0.000], [0.188, 0.188, 0.500], [0.812, 0.812, 0.000], [0.812, 0.812, 0.500], [0.225, 0.775, 0.250], [0.775, 0.225, 0.750]],
  "crystal_system": "orthorhombic",
  "formation_energy_ev_per_atom": 0.3548,
  "total_magnetization_mub_per_cell": 0.00,
  "e_tot_ev_per_atom": -4.714
}



(5)
{
  "formula": "CaAuI2O",
  "functional": "PBE",
  "state": "relaxed",
  "cell": [[6.127, 0.000, 0.000], [0.000, 6.127, 0.000], [0.000, 0.000, 4.269]],
  "species": ["Ca", "Au", "I", "I", "O"],
  "fractional_positions": [[0.000, 0.000, 0.000], [0.500, 0.500, 0.500], [0.000, 0.500, 0.000], [0.500, 0.000, 0.000], [0.000, 0.000, 0.500]],
  "crystal_system": "tetragonal",
  "total_magnetization_mub_per_cell": 1.06,
  "e_tot_ev_per_atom": -3.031
}



(6)
{
  "formula": "LaGaIrN",
  "functional": "PBE",
  "state": "relaxed",
  "cell": [[3.993, 0.000, 0.000], [0.000, 3.993, 0.000], [0.000, 0.000, 8.888]],
  "species": ["La", "La", "Ga", "Ga", "Ir", "Ir", "N", "N"],
  "fractional_positions": [[0.250, 0.250, 0.147], [0.750, 0.750, 0.853], [0.250, 0.250, 0.666], [0.750, 0.750, 0.334], [0.250, 0.750, 0.500], [0.750, 0.250, 0.500], [0.250, 0.250, 0.884], [0.750, 0.750, 0.116]],
  "crystal_system": "tetragonal",
  "total_magnetization_mub_per_cell": 0.00,
  "e_tot_ev_per_atom": -7.113
}



(7)
{
  "formula": "AcSb2Mo",
  "functional": "PBE",
  "state": "relaxed",
  "cell": [[4.977, 0.000, 0.000], [0.000, 4.977, 0.000], [0.000, 0.000, 4.411]],
  "species": ["Ac", "Sb", "Sb", "Mo"],
  "fractional_positions": [[0.000, 0.000, 0.000], [0.000, 0.500, 0.500], [0.500, 0.000, 0.500], [0.500, 0.500, 0.000]],
  "crystal_system": "tetragonal",
  "total_magnetization_mub_per_cell": 3.03,
  "e_tot_ev_per_atom": -5.629
}